Entry 1:
Below is a geometry-optimized LiAlZn4Cu2 structure, with properties calculated at the PBE-GGA level.

a = 3.463 Å, b = 3.463 Å, c = 10.954 Å
α = 90.00°, β = 90.00°, γ = 90.00°
Space group P4/mmm (No. 123)
Inequivalent atoms, fractional coordinates:
Li  0.000  0.000  0.000 x1
Al  0.000  0.000  0.500 x1
Zn  0.000  0.500  0.210 x4
Cu  0.500  0.500  0.390 x2

Energy relative to the elements ... 72 kJ/mol of formula units
V ... 131.34 Å³ per cell
Calculated total energy ... -2.275 eV/atom

***

Entry 2:
Below is a geometry-optimized LiZrAl2Cu structure, with properties calculated at the PBE-GGA level.

a = 4.536 Å, b = 4.536 Å, c = 4.969 Å
α = 90.00°, β = 90.00°, γ = 90.00°
Space group P4/mmm (No. 123)
Inequivalent atoms, fractional coordinates:
Li  0.000  0.000  0.000 x1
Zr  0.500  0.500  0.000 x1
Al  0.000  0.500  0.500 x2
Cu  0.500  0.500  0.500 x1

Energy relative to the elements ... 120 kJ/mol of formula units
V ... 102.22 Å³ per cell
Calculated total energy ... -4.159 eV/atom

***

Entry 3:
Below is a geometry-optimized LuAlCu structure, with properties calculated at the PBE-GGA level.

a = 3.187 Å, b = 3.187 Å, c = 10.729 Å
α = 90.00°, β = 90.00°, γ = 90.00°
Space group I4mm (No. 107)
Inequivalent atoms, fractional coordinates:
Lu  0.000  0.000  0.000 x2
Al  0.000  0.000  0.300 x2
Cu  0.000  0.000  0.679 x2

Energy relative to the elements ... -74 kJ/mol of formula units
V ... 108.95 Å³ per cell
Calculated total energy ... -4.377 eV/atom

***

Entry 4:
Below is a geometry-optimized Lu2AlCu structure, with properties calculated at the PBE-GGA level.

a = 3.2812 Å, b = 3.2812 Å, c = 30.4090 Å
α = 90.00°, β = 90.00°, γ = 120.00°
Space group R-3m (No. 166, hexagonal axes)
Inequivalent atoms, fractional coordinates:
Lu  0.0000  0.0000  0.0900 x6
Al  0.0000  0.0000  0.5000 x3
Cu  0.0000  0.0000  0.0000 x3

Energy relative to the elements ... 112 kJ/mol of formula units
V ... 283.52 Å³ per cell
Calculated total energy ... -3.929 eV/atom

***

What is the formula in the second record?
LiZrAl2Cu

***

The highest energy relative to the elements belongs to which entry?
LiZrAl2Cu

***

Among the records above, which one has the highest energy relative to the elements?
LiZrAl2Cu